Density functional theory data (GGA-PBE) for a relaxed structure of CoHg2Br.

total magnetization = 8.0 μB/cell
DOS(E_F) = 20.88 states/eV per cell
formation energy (no corrections) = 449 meV/atom
excess energy over the best structure of this formula in the dataset = 1.425 eV/f.u.

Lattice parameters (Å, degrees): 7.424 7.424 7.975 90.00 90.00 90.00
Sites, in units of the cell vectors:
1 Co 0.000 0.000 0.000
2 Co 0.000 0.500 0.250
3 Co 0.500 0.000 0.750
4 Co 0.500 0.500 0.500
5 Hg 0.205 0.250 0.125
6 Hg 0.250 0.705 0.375
7 Hg 0.250 0.795 0.875
8 Hg 0.295 0.250 0.625
9 Hg 0.705 0.750 0.625
10 Hg 0.750 0.205 0.875
11 Hg 0.750 0.295 0.375
12 Hg 0.795 0.750 0.125
13 Br 0.000 0.000 0.500
14 Br 0.000 0.500 0.750
15 Br 0.500 0.000 0.250
16 Br 0.500 0.500 0.000